U2H2SeI: relaxed, PBE-GGA.

It has space group P-3m1 (No. 164), with a = 3.8282 Å, b = 3.8282 Å, c = 8.7919 Å, α = 90.00°, β = 90.00° and γ = 120.00°. The distinct sites, in fractional coordinates, are U at (0.3333, 0.6667, 0.2105), H at (0.3333, 0.6667, 0.7476), Se at (0.0000, 0.0000, 0.0000) and I at (0.0000, 0.0000, 0.5000).

Its total DFT energy (no corrections) is -6.27 eV per atom. The total magnetic moment comes out at 0.9118 μB/atom.